1.
Crystalline GdHoLu at its relaxed geometry, computed with PBE-GGA.

Computed properties:
spin magnetization	7.3	μB/f.u.
uncorrected energy	-7.698	eV/atom
space-group type	P3m1 (156)
formation energy	0.03	eV per atom

a = 3.527 Å, b = 3.527 Å, c = 8.606 Å
α = 90.00°, β = 90.00°, γ = 120.00°
Fractional coordinates of all 3 atoms:
Gd1 0.000 0.000 0.000
Ho1 0.667 0.333 0.340
Lu1 0.333 0.667 0.666


2.
Crystalline GdHoLuMg at its relaxed geometry, computed with PBE-GGA.

Computed properties:
spin magnetization	7.3	μB/f.u.
uncorrected energy	-6.170	eV/atom
space-group type	F-43m (216)
formation energy	0.02	eV per atom

a = 7.725 Å, b = 7.725 Å, c = 7.725 Å
α = 90.00°, β = 90.00°, γ = 90.00°
Fractional coordinates of all 16 atoms:
Gd1 0.000 0.000 0.000
Gd2 0.000 0.500 0.500
Gd3 0.500 0.000 0.500
Gd4 0.500 0.500 0.000
Ho1 0.000 0.000 0.500
Ho2 0.000 0.500 0.000
Ho3 0.500 0.000 0.000
Ho4 0.500 0.500 0.500
Lu1 0.250 0.250 0.750
Lu2 0.250 0.750 0.250
Lu3 0.750 0.250 0.250
Lu4 0.750 0.750 0.750
Mg1 0.250 0.250 0.250
Mg2 0.250 0.750 0.750
Mg3 0.750 0.250 0.750
Mg4 0.750 0.750 0.250